# 1
Density functional theory data (PBE-GGA) for an optimized crystal structure of Be2CoTe.

```
Be2CoTe
1.0
3.8174 -1.8475 0.0000
3.8174 1.8475 0.0000
-0.0471 0.0000 3.9797
Be Co Te
2 1 1
direct
0.1930 0.1930 0.0076
0.8070 0.8070 0.9924
0.5000 0.5000 0.0000
0.0000 0.0000 0.5000
```

Summary:
Raw formation energy ... 0.206 eV per atom
DFT total energy ... -4.22 eV per atom
D(E_F) ... 2.9 states/eV per cell
Density ... 6.05 Mg/m³
Total magnetic moment ... 0.400 μB/cell
Crystal system ... monoclinic

# 2
Density functional theory data (PBE-GGA) for an optimized crystal structure of BeCo2Te.

```
BeCo2Te
1.0
4.1055 -1.6335 0.0000
4.1055 1.6335 0.0000
-1.1293 0.0000 3.8122
Be Co Te
1 2 1
direct
0.0000 0.0000 0.0000
0.4956 0.4956 0.4324
0.7255 0.7255 0.0752
0.2366 0.2366 0.6139
```

Summary:
Raw formation energy ... 0.197 eV per atom
DFT total energy ... -5.07 eV per atom
D(E_F) ... 4.2 states/eV per cell
Density ... 8.26 Mg/m³
Total magnetic moment ... 0.000 μB/cell
Energy above the lowest structure with this stoichiometry ... 0.47 kcal/mol of atoms
Crystal system ... monoclinic

# 3
Density functional theory data (PBE-GGA) for an optimized crystal structure of Be2CoTe.

```
Be2CoTe
1.0
2.4709 -4.1712 0.0000
2.4709 4.1712 0.0000
-2.3827 0.0000 2.7628
Be Co Te
2 1 1
direct
0.0000 0.5000 0.0000
0.5000 0.0000 0.0000
0.0000 0.0000 0.0000
0.5000 0.5000 0.0000
```

Summary:
Raw formation energy ... 0.491 eV per atom
DFT total energy ... -3.93 eV per atom
D(E_F) ... 1.7 states/eV per cell
Density ... 5.96 Mg/m³
Total magnetic moment ... 0.000 μB/cell
Crystal system ... monoclinic

# 4
Density functional theory data (PBE-GGA) for an optimized crystal structure of BeCo2Te.

```
BeCo2Te
1.0
2.7418 -4.0063 0.0000
2.7418 4.0063 0.0000
-1.6138 0.0000 2.5135
Be Co Te
1 2 1
direct
0.0000 0.0000 0.0000
0.0000 0.5000 0.0000
0.5000 0.0000 0.0000
0.5000 0.5000 0.0000
```

Summary:
Raw formation energy ... 0.513 eV per atom
DFT total energy ... -4.76 eV per atom
D(E_F) ... 4.3 states/eV per cell
Density ... 7.65 Mg/m³
Total magnetic moment ... 1.772 μB/cell
Energy above the lowest structure with this stoichiometry ... 7.75 kcal/mol of atoms
Crystal system ... monoclinic

# 5
Density functional theory data (PBE-GGA) for an optimized crystal structure of BeCoTe.

```
BeCoTe
1.0
3.7864 0.0000 0.0000
-1.8932 3.2791 0.0000
0.0000 0.0000 3.5399
Be Co Te
1 1 1
direct
0.0000 0.0000 0.0000
0.6667 0.3333 0.0000
0.3333 0.6667 0.5000
```

Summary:
Raw formation energy ... 0.314 eV per atom
DFT total energy ... -4.34 eV per atom
D(E_F) ... 2.6 states/eV per cell
Density ... 7.39 Mg/m³
Total magnetic moment ... 0.333 μB/cell
Energy above the lowest structure with this stoichiometry ... 11.59 kcal/mol of atoms
Crystal system ... hexagonal

# 6
Density functional theory data (PBE-GGA) for an optimized crystal structure of BeCo2Te.

```
BeCo2Te
1.0
1.5009 0.8666 7.5467
-1.5009 0.8666 7.5467
0.0000 -1.7331 7.5467
Be Co Te
1 2 1
direct
0.0000 0.0000 0.0000
0.4758 0.4758 0.4758
0.7313 0.7313 0.7313
0.2300 0.2300 0.2300
```

Summary:
Raw formation energy ... 0.613 eV per atom
DFT total energy ... -4.66 eV per atom
D(E_F) ... 4.0 states/eV per cell
Density ... 7.18 Mg/m³
Total magnetic moment ... 2.688 μB/cell
Energy above the lowest structure with this stoichiometry ... 10.06 kcal/mol of atoms
Crystal system ... trigonal